1.
Material: Tb6ErTm3
Method: DFT, PBE
State: optimized geometry

Cell: 6.3151 11.4475 11.4475 Å, 130.45 90.00 90.00°
Element x y z (fractional)
Tb1 0.0692 0.7408 0.6215
Tb2 0.5692 0.6215 0.7408
Tb3 0.3260 0.4570 0.8955
Tb4 0.8260 0.8955 0.4570
Tb5 0.3196 0.9843 0.0157
Tb6 0.7869 0.3005 0.6995
Tb7 0.2869 0.6995 0.3005
Tb8 0.8196 0.0157 0.9843
Tb9 0.3260 0.1045 0.5430
Tb10 0.8260 0.5430 0.1045
Tb11 0.0692 0.3785 0.2592
Tb12 0.5692 0.2592 0.3785
Er1 0.0161 0.1603 0.8397
Er2 0.5161 0.8397 0.1603
Tm1 0.4900 0.9572 0.7056
Tm2 0.9900 0.7056 0.9572
Tm3 0.0924 0.4189 0.5811
Tm4 0.5924 0.5811 0.4189
Tm5 0.9900 0.0428 0.2944
Tm6 0.4900 0.2944 0.0428

Output
- energy above the lowest structure with this stoichiometry (meV per atom) = 0.0
- theoretical density (kg/m3) = 8584

2.
Material: Ta3V4Ga2
Method: DFT, PBE
State: optimized geometry

Cell: 4.4315 4.4314 8.1645 Å, 90.01 90.00 120.00°
Element x y z (fractional)
Ta1 0.3334 0.6667 0.5701
Ta2 0.0000 0.0000 0.0000
Ta3 0.6666 0.3333 0.4299
V1 0.6666 0.3332 0.1027
V2 0.0000 0.0001 0.6570
V3 0.0000 0.9999 0.3430
V4 0.3334 0.6668 0.8973
Ga1 0.3332 0.6665 0.2210
Ga2 0.6668 0.3335 0.7790

Output
- theoretical density (kg/m3) = 10596

3.
Material: Hf2Zn2Ge
Method: DFT, PBE
State: optimized geometry

Cell: 6.9760 6.9760 4.1139 Å, 90.00 90.00 90.00°
Element x y z (fractional)
Ge1 0.0000 0.0000 0.0000
Ge2 0.5000 0.5000 0.0000
Hf1 0.3417 0.8417 0.0000
Hf2 0.8417 0.6583 0.0000
Hf3 0.6583 0.1583 0.0000
Hf4 0.1583 0.3417 0.0000
Zn1 0.1384 0.6384 0.5000
Zn2 0.6384 0.8616 0.5000
Zn3 0.8616 0.3616 0.5000
Zn4 0.3616 0.1384 0.5000

Output
- energy above the lowest structure with this stoichiometry (meV per atom) = 171.4
- theoretical density (kg/m3) = 9297

4.
Material: Pr2NdHg
Method: DFT, PBE
State: optimized geometry

Cell: 3.7636 3.7636 11.1868 Å, 80.32 80.32 60.00°
Element x y z (fractional)
Pr1 0.0755 0.0755 0.7736
Pr2 0.2580 0.2580 0.2261
Nd1 0.4998 0.4998 0.5006
Hg1 0.6668 0.6668 0.9996

Output
- energy above the lowest structure with this stoichiometry (meV per atom) = 92.0
- theoretical density (kg/m3) = 7730

Record-wise calculated total energy values, in eV/atom: -4.45, -8.72, -5.45, -3.79